# 1
A plane-wave DFT calculation with PBE-GGA was carried out for a relaxed AlTlGe2 crystal.

abc: 3.475 3.475 7.442
angles: 90.00 90.00 90.00
Space group P4/mmm (No. 123)
Asymmetric unit:
Al  0.000  0.000  0.000
Tl  0.000  0.000  0.500
Ge  0.500  0.500  0.181

## Properties
DOS at the Fermi energy: 0.373 states/eV per atom
formation enthalpy at 0 K: 0.155 eV/atom
excess energy over the best structure of this formula in the dataset: 0.0 meV/atom
crystal system: tetragonal

---

# 2
A plane-wave DFT calculation with PBE-GGA was carried out for a relaxed La3TbPrY crystal.

abc: 8.162 5.241 10.468
angles: 90.00 108.74 90.00
Space group P2_1/m (No. 11)
Asymmetric unit:
La  0.168  0.250  0.043
La  0.170  0.250  0.541
La  0.170  0.750  0.792
Tb  0.500  0.250  0.376
Pr  0.170  0.750  0.293
Y  0.498  0.750  0.126

## Properties
DOS at the Fermi energy: 1.881 states/eV per atom
formation enthalpy at 0 K: 0.026 eV/atom
crystal system: monoclinic